(1)
Density functional theory data (PBE) for NiOs3Pd after structural relaxation.

Unit cell a=4.3978 b=4.3978 c=4.3978 alpha=90.00 beta=90.00 gamma=90.00
Closest atoms and distances in Å follow each position.
Atoms (fractional coordinates):
Ni  0.0000  0.0000  0.0000  6 Os 2.20
Os  0.0000  0.0000  0.5000  2 Ni 2.20
Os  0.0000  0.5000  0.0000  2 Ni 2.20
Os  0.5000  0.0000  0.0000  2 Ni 2.20
Pd  0.5000  0.5000  0.5000  12 Os 3.11

(2)
Density functional theory data (PBE) for NiOs3Pd after structural relaxation.

Unit cell a=4.6912 b=4.6912 c=4.6912 alpha=90.00 beta=90.00 gamma=90.00
Closest atoms and distances in Å follow each position.
Atoms (fractional coordinates):
Ni  0.0000  0.0000  0.0000  12 Os 3.32
Os  0.0000  0.5000  0.5000  2 Pd 2.35
Os  0.5000  0.0000  0.5000  2 Pd 2.35
Os  0.5000  0.5000  0.0000  2 Pd 2.35
Pd  0.5000  0.5000  0.5000  6 Os 2.35

Most stable structure, least stable structure: (1), (2).

(1)
Density functional theory data (PBE) for Ni2OsPd after structural relaxation.

Unit cell a=8.5749 b=8.5749 c=8.5749 alpha=17.94 beta=17.94 gamma=17.94
Closest atoms and distances in Å follow each position.
Atoms (fractional coordinates):
Ni  0.2473  0.2473  0.2473  3 Os 2.56, 3 Pd 2.67, 6 Ni 2.67
Ni  0.7527  0.7527  0.7527  3 Os 2.56, 3 Pd 2.67, 6 Ni 2.67
Os  0.5000  0.5000  0.5000  6 Ni 2.56, 6 Os 2.67
Pd  0.0000  0.0000  0.0000  6 Ni 2.67, 6 Pd 2.67

(2)
Density functional theory data (PBE) for Ni2OsPd after structural relaxation.

Unit cell a=4.1705 b=4.1705 c=4.1705 alpha=60.00 beta=60.00 gamma=60.00
Closest atoms and distances in Å follow each position.
Atoms (fractional coordinates):
Ni  0.2500  0.2500  0.2500  4 Os 2.55, 4 Pd 2.55
Ni  0.7500  0.7500  0.7500  4 Os 2.55, 4 Pd 2.55
Os  0.0000  0.0000  0.0000  8 Ni 2.55
Pd  0.5000  0.5000  0.5000  8 Ni 2.55

Most stable structure, least stable structure: (1), (2).

(1)
Density functional theory data (PBE) for Pm8NiOs2 after structural relaxation.

Unit cell a=7.6439 b=7.6439 c=6.2382 alpha=101.13 beta=101.13 gamma=112.48
Closest atoms and distances in Å follow each position.
Atoms (fractional coordinates):
Pm  0.0000  0.0000  0.0000  1 Ni 2.99, 2 Os 3.02
Pm  0.0087  0.2746  0.5905  2 Os 2.83-2.86, 1 Ni 3.12
Pm  0.1555  0.5664  0.1932  1 Ni 2.84
Pm  0.2746  0.0087  0.5905  2 Os 2.83-2.86, 1 Ni 3.12
Pm  0.4360  0.6998  0.8149  2 Os 2.84, 1 Ni 3.02
Pm  0.5664  0.1555  0.1932  1 Ni 2.84
Pm  0.6998  0.4360  0.8149  2 Os 2.84, 1 Ni 3.02
Pm  0.7161  0.7161  0.3988  2 Os 3.04, 1 Ni 3.18
Ni  0.3550  0.3550  0.0118  8 Pm 2.84-3.18
Os  0.0432  0.6654  0.7045  6 Pm 2.83-3.04
Os  0.6654  0.0432  0.7045  6 Pm 2.83-3.04

(2)
Density functional theory data (PBE) for Pm8NiOs2 after structural relaxation.

Unit cell a=9.3373 b=9.3373 c=7.0858 alpha=104.91 beta=104.91 gamma=30.07
Closest atoms and distances in Å follow each position.
Atoms (fractional coordinates):
Pm  0.0290  0.0290  0.2890  2 Ni 2.97, 1 Os 3.03
Pm  0.2065  0.2065  0.8149  3 Os 2.91-3.13
Pm  0.3320  0.3320  0.5327  3 Os 3.00-3.11, 1 Ni 3.10
Pm  0.4019  0.4019  0.0315  2 Os 3.13, 1 Ni 3.32, 6 Pm 3.42-3.50
Pm  0.5981  0.5981  0.9685  2 Os 3.13, 1 Ni 3.32, 6 Pm 3.42-3.50
Pm  0.6680  0.6680  0.4673  3 Os 3.00-3.11, 1 Ni 3.10
Pm  0.7935  0.7935  0.1851  3 Os 2.91-3.13
Pm  0.9710  0.9710  0.7110  2 Ni 2.97, 1 Os 3.03
Ni  0.5000  0.5000  0.5000  8 Pm 2.97-3.32
Os  0.1859  0.1859  0.2078  9 Pm 2.91-3.13
Os  0.8141  0.8141  0.7922  9 Pm 2.91-3.13

Most stable structure, least stable structure: (2), (1).